Record 1
# La8OsRu3I4 | the Alexandria database | GGA-PBE | optimized geometry
# **Raw formation energy**: -11.91 eV/f.u.
# **SG**: R-3m, No. 166
# **Fermi-level density of states**: 0.631 states/eV/atom
data_La8OsRu3I4
_cell_length_a 9.5495
_cell_length_b 9.5495
_cell_length_c 9.5495
_cell_angle_alpha 52.64
_cell_angle_beta 52.64
_cell_angle_gamma 52.64
_space_group_name_H-M_alt 'P 1'
_space_group_IT_number 1
loop_
_space_group_symop_operation_xyz
'x,y,z'
loop_
_atom_site_label
_atom_site_fract_x
_atom_site_fract_y
_atom_site_fract_z
La1 0.2277 0.2277 0.2277
La2 0.2288 0.7278 0.7278
La3 0.2722 0.2722 0.7712
La4 0.2722 0.7712 0.2722
La5 0.7278 0.2288 0.7278
La6 0.7278 0.7278 0.2288
La7 0.7712 0.2722 0.2722
La8 0.7723 0.7723 0.7723
Os1 0.5000 0.5000 0.5000
Ru1 0.0000 0.0000 0.5000
Ru2 0.0000 0.5000 0.0000
Ru3 0.5000 0.0000 0.0000
I1 0.0000 0.0000 0.0000
I2 0.0000 0.5000 0.5000
I3 0.5000 0.0000 0.5000
I4 0.5000 0.5000 0.0000


Record 2
# La4OsRuI2 | the Alexandria database | GGA-PBE | optimized geometry
# **Raw formation energy**: -5.76 eV/f.u.
# **SG**: P2/m, No. 10
# **Fermi-level density of states**: 0.574 states/eV/atom
data_La4OsRuI2
_cell_length_a 7.3530
_cell_length_b 4.2449
_cell_length_c 8.5406
_cell_angle_alpha 90.00
_cell_angle_beta 106.65
_cell_angle_gamma 90.00
_space_group_name_H-M_alt 'P 1'
_space_group_IT_number 1
loop_
_space_group_symop_operation_xyz
'x,y,z'
loop_
_atom_site_label
_atom_site_fract_x
_atom_site_fract_y
_atom_site_fract_z
La1 0.2277 0.0000 0.1842
La2 0.2713 0.5000 0.8167
La3 0.7287 0.5000 0.1833
La4 0.7723 0.0000 0.8158
Os1 0.0000 0.5000 0.0000
Ru1 0.5000 0.0000 0.0000
I1 0.0000 0.0000 0.5000
I2 0.5000 0.5000 0.5000


Record 3
# La8Os3RuI3 | the Alexandria database | GGA-PBE | optimized geometry
# **Raw formation energy**: -8.48 eV/f.u.
# **SG**: C2/m, No. 12
# **Fermi-level density of states**: 0.561 states/eV/atom
data_La8Os3RuI3
_cell_length_a 8.4476
_cell_length_b 8.4476
_cell_length_c 9.6247
_cell_angle_alpha 115.98
_cell_angle_beta 115.98
_cell_angle_gamma 60.05
_space_group_name_H-M_alt 'P 1'
_space_group_IT_number 1
loop_
_space_group_symop_operation_xyz
'x,y,z'
loop_
_atom_site_label
_atom_site_fract_x
_atom_site_fract_y
_atom_site_fract_z
La1 0.2256 0.2256 0.6795
La2 0.2257 0.7283 0.6798
La3 0.2717 0.7743 0.3202
La4 0.2728 0.2728 0.3182
La5 0.7272 0.7272 0.6818
La6 0.7283 0.2257 0.6798
La7 0.7743 0.2717 0.3202
La8 0.7744 0.7744 0.3205
Os1 0.0000 0.5000 0.5000
Os2 0.5000 0.0000 0.5000
Os3 0.5000 0.5000 0.5000
Ru1 0.0000 0.0000 0.5000
I1 0.0000 0.0000 0.0000
I2 0.0000 0.5000 0.0000
I3 0.5000 0.0000 0.0000


Record 4
# La6Os2RuI3 | the Alexandria database | GGA-PBE | optimized geometry
# **Raw formation energy**: -8.42 eV/f.u.
# **SG**: C2/m, No. 12
# **Fermi-level density of states**: 0.634 states/eV/atom
data_La6Os2RuI3
_cell_length_a 7.3617
_cell_length_b 7.3617
_cell_length_c 8.5365
_cell_angle_alpha 98.27
_cell_angle_beta 98.27
_cell_angle_gamma 120.00
_space_group_name_H-M_alt 'P 1'
_space_group_IT_number 1
loop_
_space_group_symop_operation_xyz
'x,y,z'
loop_
_atom_site_label
_atom_site_fract_x
_atom_site_fract_y
_atom_site_fract_z
La1 0.1046 0.4387 0.8163
La2 0.2272 0.2272 0.1837
La3 0.4387 0.1046 0.8163
La4 0.5613 0.8954 0.1837
La5 0.7728 0.7728 0.8163
La6 0.8954 0.5613 0.1837
Os1 0.1667 0.8333 0.0000
Os2 0.8333 0.1667 0.0000
Ru1 0.5000 0.5000 0.0000
I1 0.0000 0.0000 0.5000
I2 0.3335 0.6665 0.5000
I3 0.6665 0.3335 0.5000


Record 5
# La8Os3RuI4 | the Alexandria database | GGA-PBE | optimized geometry
# **Raw formation energy**: -11.09 eV/f.u.
# **SG**: C2/m, No. 12
# **Fermi-level density of states**: 0.634 states/eV/atom
data_La8Os3RuI4
_cell_length_a 8.5098
_cell_length_b 8.5098
_cell_length_c 9.5326
_cell_angle_alpha 116.56
_cell_angle_beta 116.56
_cell_angle_gamma 59.97
_space_group_name_H-M_alt 'P 1'
_space_group_IT_number 1
loop_
_space_group_symop_operation_xyz
'x,y,z'
loop_
_atom_site_label
_atom_site_fract_x
_atom_site_fract_y
_atom_site_fract_z
La1 0.2283 0.2283 0.6835
La2 0.2281 0.7272 0.6834
La3 0.2719 0.2719 0.3157
La4 0.2728 0.7719 0.3166
La5 0.7272 0.2281 0.6834
La6 0.7281 0.7281 0.6843
La7 0.7719 0.2728 0.3166
La8 0.7717 0.7717 0.3165
Os1 0.0000 0.5000 0.5000
Os2 0.5000 0.0000 0.5000
Os3 0.5000 0.5000 0.5000
Ru1 0.0000 0.0000 0.5000
I1 0.0000 0.0000 0.0000
I2 0.0000 0.5000 0.0000
I3 0.5000 0.0000 0.0000
I4 0.5000 0.5000 0.0000


Record 6
# La6Os2SI3 | the Alexandria database | GGA-PBE | optimized geometry
# **Raw formation energy**: -12.47 eV/f.u.
# **SG**: C2/m, No. 12
# **Fermi-level density of states**: 0.901 states/eV/atom
data_La6Os2SI3
_cell_length_a 7.4144
_cell_length_b 7.4144
_cell_length_c 8.5125
_cell_angle_alpha 98.34
_cell_angle_beta 98.34
_cell_angle_gamma 119.94
_space_group_name_H-M_alt 'P 1'
_space_group_IT_number 1
loop_
_space_group_symop_operation_xyz
'x,y,z'
loop_
_atom_site_label
_atom_site_fract_x
_atom_site_fract_y
_atom_site_fract_z
La1 0.0893 0.4380 0.8123
La2 0.2136 0.2136 0.1878
La3 0.4380 0.0893 0.8123
La4 0.5620 0.9107 0.1877
La5 0.7864 0.7864 0.8122
La6 0.9107 0.5620 0.1877
Os1 0.1668 0.8332 0.0000
Os2 0.8332 0.1668 0.0000
S1 0.5000 0.5000 0.0000
I1 0.0000 0.0000 0.5000
I2 0.3347 0.6653 0.5000
I3 0.6653 0.3347 0.5000